## Ta2TcB2 (PBE-GGA)

Data for a relaxed structure of Ta2TcB2.

Cell lengths 5.4708, 5.4708, 5.4708 Å; angles 140.59, 140.59, 56.96 degrees
Element x y z (fractional)
Ta1 0.2500 0.7500 0.5000
Ta2 0.7500 0.2500 0.5000
Tc1 0.0000 0.0000 0.0000
B1 0.4152 0.4152 0.0000
B2 0.5848 0.5848 0.0000

## Properties
Energy above the most stable polymorph in this dataset: 955 meV/atom
Symmetry: I4/mmm (139)
Total DFT energy (no corrections): -9.252 eV per atom